Compound: CoPdRh
Source: the Alexandria database
Functional: PBE
Structure: optimized geometry

SG ... P3m1, No. 156
Fermi-level density of states ... 4.1 states/eV/cell
DFT formation energy ... 62 meV per atom
M_tot ... 2.9 μB per formula unit
Offset from the most stable computed form ... 2.8 kJ per mole of atoms
Electronic total energy ... -6.488 eV per atom

a b c (Å): 2.705 2.705 6.523
angles (deg): 90.00 90.00 120.00
Last column: magnetic moment on the atom in μB.
Element x y z (fractional)
Co 0.333 0.667 0.661  2.01
Pd 0.000 0.000 0.989  0.31
Rh 0.667 0.333 0.351  0.61

---

Compound: Co2PdRh3
Source: the Alexandria database
Functional: PBE
Structure: optimized geometry

SG ... Cmcm, No. 63
Fermi-level density of states ... 18.5 states/eV/cell
DFT formation energy ... 80 meV per atom
M_tot ... 5.6 μB per formula unit
Electronic total energy ... -6.830 eV per atom

a b c (Å): 2.701 7.048 8.714
angles (deg): 90.00 90.00 101.05
Last column: magnetic moment on the atom in μB.
Element x y z (fractional)
Rh 0.103 0.206 0.750  0.57
Co 0.554 0.108 0.250  1.99
Pd 0.219 0.438 0.250  0.23
Rh 0.658 0.316 0.999  0.53
Rh 0.342 0.684 0.001  0.53
Rh 0.342 0.684 0.499  0.53
Rh 0.897 0.794 0.250  0.57
Rh 0.658 0.316 0.501  0.53
Co 0.000 0.000 0.000  1.86
Co 0.000 0.000 0.500  1.86
Co 0.446 0.892 0.750  1.99
Pd 0.781 0.562 0.750  0.23

---

Compound: Co2PdRh
Source: the Alexandria database
Functional: PBE
Structure: optimized geometry

SG ... P4/mmm, No. 123
Fermi-level density of states ... 4.9 states/eV/cell
DFT formation energy ... 69 meV per atom
M_tot ... 4.9 μB per formula unit
Electronic total energy ... -6.620 eV per atom

a b c (Å): 2.677 2.677 7.330
angles (deg): 90.00 90.00 90.00
Last column: magnetic moment on the atom in μB.
Element x y z (fractional)
Co 0.000 0.000 0.255  1.92
Co 0.000 0.000 0.745  1.92
Rh 0.500 0.500 0.500  0.83
Pd 0.500 0.500 0.000  0.40

---

Compound: CoPdRh
Source: the Alexandria database
Functional: PBE
Structure: optimized geometry

SG ... Cmcm, No. 63
Fermi-level density of states ... 6.4 states/eV/cell
DFT formation energy ... 34 meV per atom
M_tot ... 3.1 μB per formula unit
Offset from the most stable computed form ... 0.0 kJ per mole of atoms
Electronic total energy ... -6.516 eV per atom

a b c (Å): 2.698 4.007 7.763
angles (deg): 90.00 100.06 90.00
Last column: magnetic moment on the atom in μB.
Element x y z (fractional)
Rh 0.394 0.250 0.289  0.89
Co 0.040 0.250 0.580  1.98
Pd 0.205 0.250 0.910  0.31
Pd 0.795 0.750 0.090  0.31
Co 0.960 0.750 0.420  1.98
Rh 0.606 0.750 0.711  0.89

---

Compound: Sc4CoPdRh2
Source: the Alexandria database
Functional: PBE
Structure: optimized geometry

SG ... R-3m, No. 166
Fermi-level density of states ... 5.4 states/eV/cell
DFT formation energy ... -813 meV per atom
M_tot ... 0.0 μB per formula unit
Electronic total energy ... -7.354 eV per atom

a b c (Å): 4.565 4.565 7.885
angles (deg): 73.17 73.17 60.00
Element x y z (fractional)
Sc 0.622 0.622 0.135
Sc 0.872 0.872 0.384
Rh 0.250 0.250 0.250
Co 0.500 0.500 0.500
Sc 0.128 0.128 0.616
Rh 0.750 0.750 0.750
Pd 0.000 0.000 0.000
Sc 0.378 0.378 0.865

---

Compound: Co2PdRhSe6
Source: the Alexandria database
Functional: PBE
Structure: optimized geometry

SG ... R3, No. 146
Fermi-level density of states ... 6.1 states/eV/cell
M_tot ... 0.0 μB per formula unit
Raw formation energy ... -0.2778 eV per atom
Electronic total energy ... -5.044 eV per atom

a b c (Å): 6.256 6.255 6.533
angles (deg): 61.36 61.35 59.98
Element x y z (fractional)
Co 0.016 0.016 0.951
Se 0.629 0.228 0.251
Rh 0.815 0.815 0.556
Pd 0.314 0.314 0.059
Se 0.892 0.628 0.252
Se 0.121 0.399 0.746
Se 0.229 0.892 0.251
Se 0.733 0.121 0.746
Co 0.514 0.515 0.456
Se 0.399 0.733 0.746

---

Compound: CoSnPdRh
Source: the Alexandria database
Functional: PBE
Structure: optimized geometry

SG ... F-43m, No. 216
Fermi-level density of states ... 6.3 states/eV/cell
DFT formation energy ... -154 meV per atom
M_tot ... 1.7 μB per formula unit
Electronic total energy ... -6.067 eV per atom

a b c (Å): 4.425 4.425 4.425
angles (deg): 60.00 60.00 60.00
Last column: magnetic moment on the atom in μB.
Element x y z (fractional)
Co 0.750 0.750 0.750  1.70
Sn 0.250 0.250 0.250  -0.03
Pd 0.500 0.500 0.500  -0.06
Rh 0.000 0.000 0.000  0.15

---

Compound: Ti5CoPd2Rh2
Source: the Alexandria database
Functional: PBE
Structure: optimized geometry

SG ... P4/mbm, No. 127
Fermi-level density of states ... 12.9 states/eV/cell
DFT formation energy ... -396 meV per atom
M_tot ... 0.0 μB per formula unit
Electronic total energy ... -7.563 eV per atom

a b c (Å): 2.923 10.455 10.455
angles (deg): 90.00 90.00 90.00
Element x y z (fractional)
Pd 0.000 0.656 0.156
Ti 0.500 0.000 0.500
Ti 0.500 0.879 0.157
Co 0.000 0.500 0.500
Rh 0.000 0.644 0.856
Ti 0.500 0.157 0.121
Pd 0.000 0.844 0.656
Rh 0.000 0.144 0.644
Ti 0.500 0.343 0.621
Co 0.000 0.000 0.000
Pd 0.000 0.156 0.344
Ti 0.500 0.121 0.843
Ti 0.500 0.500 0.000
Ti 0.500 0.379 0.343
Pd 0.000 0.344 0.844
Ti 0.500 0.843 0.879
Rh 0.000 0.356 0.144
Rh 0.000 0.856 0.356
Ti 0.500 0.657 0.379
Ti 0.500 0.621 0.657